(1)
# HfTi2Mn

A geometry-optimized HfTi2Mn structure (GGA-PBE, Alexandria via LeMat-Bulk).

Cell and atoms, written as POSCAR:
```
HfTi2Mn
1.0
-2.3138 -1.6521 1.1297
0.2429 -1.9458 -2.3483
4.5514 -3.8634 3.6720
Mn Hf Ti
1 1 2
Cartesian
-1.0355 -1.7990 -0.6093
1.2402 -3.7307 1.2267
3.6370 -3.0872 2.9342
0.9144 -0.7762 0.7377
```

Values from the calculation:
Magnetic moment = 0.0000 μB per atom
Calculated density = 8.33 g cm⁻³
DFT formation energy = -0.082 eV per atom
Energy above the most stable polymorph in this dataset = 23.9 kJ/mol of formula units

***

(2)
# K2ZrRu

A geometry-optimized K2ZrRu structure (GGA-PBE, Alexandria via LeMat-Bulk).

Cell and atoms, written as POSCAR:
```
K2ZrRu
1.0
-3.5989 -1.8876 1.9238
2.3886 -4.3437 -4.8966
1.9861 -2.2728 1.7877
K Ru Zr
2 1 1
Cartesian
0.0000 0.0000 0.0000
-0.8064 -2.0802 1.8558
2.1873 -3.3082 -1.5545
-0.6052 -3.1156 -1.4864
```

Values from the calculation:
Magnetic moment = 0.0004 μB per atom
Calculated density = 4.47 g cm⁻³
DFT formation energy = 0.935 eV per atom
Energy above the most stable polymorph in this dataset = 241.9 kJ/mol of formula units

***

(3)
# SrAl2SiTc

A geometry-optimized SrAl2SiTc structure (GGA-PBE, Alexandria via LeMat-Bulk).

Cell and atoms, written as POSCAR:
```
SrAl2SiTc
1.0
4.8132 0.0000 0.0000
0.0000 4.8132 0.0000
0.0000 0.0000 4.6763
Sr Si Tc Al
1 1 1 2
Cartesian
2.4066 2.4066 2.3381
0.0000 0.0000 2.3381
0.0000 0.0000 0.0000
0.0000 2.4066 0.0000
2.4066 0.0000 0.0000
```

Values from the calculation:
Magnetic moment = 0.0000 μB per atom
Formation energy (no corrections) = -0.267 eV per atom
Calculated density = 4.10 g cm⁻³

***

(4)
# Ac2Ho3Te6

A geometry-optimized Ac2Ho3Te6 structure (GGA-PBE, Alexandria via LeMat-Bulk).

Cell and atoms, written as POSCAR:
```
Ac2Ho3Te6
1.0
-6.1213 -4.5490 -1.0922
-0.9157 -3.6898 -6.6729
1.8113 -7.3663 2.3357
Ac Ho Te
2 3 6
Cartesian
-0.7167 -6.9067 -3.4867
-4.5090 -8.6984 -1.9427
0.0000 0.0000 0.0000
-2.3297 -2.7568 -2.6341
-4.7073 -5.4819 -5.1310
-1.7481 -10.0317 -3.1820
-3.0807 -9.0027 1.0010
0.5474 -7.2523 -0.4505
-1.2293 -2.9127 0.2425
-3.4776 -5.5734 -2.2474
-5.7731 -8.3527 -4.9790
```

Values from the calculation:
Magnetic moment = 0.0000 μB per atom
Formation energy (no corrections) = -1.428 eV per atom
Calculated density = 7.41 g cm⁻³

***

(5)
# Cs2IrPtCl6

A geometry-optimized Cs2IrPtCl6 structure (GGA-PBE, Alexandria via LeMat-Bulk).

Cell and atoms, written as POSCAR:
```
Cs2IrPtCl6
1.0
-3.8328 5.9359 1.0929
-5.9230 -3.9481 0.6714
-4.0632 0.6112 5.8184
Cs Ir Pt Cl
2 1 1 6
Cartesian
-6.3870 3.7705 3.8967
-7.4321 -1.1715 3.6860
-4.8779 0.9939 0.8822
0.0000 0.0000 0.0000
-4.4788 0.8064 3.3001
-9.3402 1.7926 4.2826
-2.5135 0.5122 0.4546
-7.2423 1.4757 1.3098
-4.3713 3.3894 0.9843
-5.3845 -1.4016 0.7800
```

Values from the calculation:
Magnetic moment = 0.0028 μB per atom
Formation energy (no corrections) = -0.848 eV per atom
Calculated density = 5.61 g cm⁻³

***

(6)
# Cs2KSrI4

A geometry-optimized Cs2KSrI4 structure (GGA-PBE, Alexandria via LeMat-Bulk).

Cell and atoms, written as POSCAR:
```
Cs2KSrI4
1.0
5.0817 0.0000 0.0000
0.0000 8.9848 0.2165
0.0000 -3.0920 9.2139
Cs K Sr I
2 1 1 4
Cartesian
2.5409 -1.5460 4.6070
0.0000 2.9464 4.7152
0.0000 0.0000 0.0000
2.5409 4.4924 0.1082
2.5409 1.6853 1.9492
2.5409 4.2075 7.4812
0.0000 0.1008 7.4740
0.0000 5.7920 1.9564
```

Values from the calculation:
Magnetic moment = 0.0323 μB per atom
Formation energy (no corrections) = -1.376 eV per atom
Calculated density = 3.52 g cm⁻³

***

(7)
# CsAg2Ir

A geometry-optimized CsAg2Ir structure (GGA-PBE, Alexandria via LeMat-Bulk).

Cell and atoms, written as POSCAR:
```
CsAg2Ir
1.0
5.5880 0.0000 0.0000
0.0000 5.5880 0.0000
2.7940 2.7940 8.8960
Cs Ir Ag
2 2 4
Cartesian
2.7940 2.7940 0.0000
2.7940 5.5880 4.4480
0.0000 0.0000 0.0000
5.5880 2.7940 4.4480
5.5921 1.3970 2.2240
5.5838 4.1910 2.2240
4.1910 2.7898 6.6720
6.9850 2.7981 6.6720
```

Values from the calculation:
Magnetic moment = 0.2231 μB per atom
Calculated density = 6.47 g cm⁻³
DFT formation energy = 0.761 eV per atom

***

(8)
# TlAgGe3

A geometry-optimized TlAgGe3 structure (GGA-PBE, Alexandria via LeMat-Bulk).

Cell and atoms, written as POSCAR:
```
TlAgGe3
1.0
-4.3639 2.0819 -1.5849
0.6098 -2.1880 -4.5532
-2.5445 -4.0950 1.6270
Tl Ge Ag
1 3 1
Cartesian
-3.1493 -2.1005 -2.2556
0.3049 -1.0940 -2.2766
-1.2723 -2.0475 0.8135
-2.1820 1.0410 -0.7925
0.0000 0.0000 0.0000
```

Values from the calculation:
Magnetic moment = 0.0000 μB per atom
Calculated density = 6.68 g cm⁻³
DFT formation energy = 0.606 eV per atom
Energy above the most stable polymorph in this dataset = 0.0 kJ/mol of formula units